[1]
Here is a relaxed BeGeAs2Br crystal from Alexandria via LeMat-Bulk. Energies are from GGA-PBE.

Geometry as extended XYZ:
```
5
Lattice="-1.292 -4.824 0.193 2.564 -0.516 4.259 -4.249 1.246 2.709" Properties=species:S:1:pos:R:3 pbc="T T T"
Be -1.488 -2.047 3.580
As 1.282 -0.258 2.129
As -0.646 -2.412 0.097
Ge 0.000 0.000 0.000
Br -2.124 0.623 1.354
```

## Properties
Uncorrected formation energy   1.05 eV/atom
SG   P4/mmm (123)
Electronic total energy   -2.82 eV/atom

***

[2]
Here is a relaxed BaTaTe3 crystal from Alexandria via LeMat-Bulk. Energies are from GGA-PBE.

Geometry as extended XYZ:
```
5
Lattice="-4.614 -3.257 2.562 2.700 -5.272 -1.838 3.143 -0.252 5.340" Properties=species:S:1:pos:R:3 pbc="T T T"
Te 1.350 -2.636 -0.919
Te 1.571 -0.126 2.670
Te -2.307 -1.628 1.281
Ba 0.000 0.000 0.000
Ta 0.614 -4.390 3.032
```

## Properties
Uncorrected formation energy   1.59 eV/atom
SG   Pm-3m (221)
Electronic total energy   -3.05 eV/atom

***

[3]
Here is a relaxed Li2CuTc crystal from Alexandria via LeMat-Bulk. Energies are from GGA-PBE.

Geometry as extended XYZ:
```
4
Lattice="-2.686 1.644 -3.224 -1.481 -1.957 0.236 -2.585 2.376 3.365" Properties=species:S:1:pos:R:3 pbc="T T T"
Cu -4.435 0.761 0.932
Li -1.408 -1.609 0.352
Li -2.435 0.574 -0.829
Tc -1.989 0.589 1.958
```

## Properties
SG   Pm (6)
Electronic total energy   -4.38 eV/atom

***

[4]
Here is a relaxed Hf2ZrRu crystal from Alexandria via LeMat-Bulk. Energies are from GGA-PBE.

Geometry as extended XYZ:
```
4
Lattice="3.258 0.000 0.000 0.000 3.258 0.000 0.000 0.000 7.456" Properties=species:S:1:pos:R:3 pbc="T T T"
Ru 1.629 1.629 0.000
Hf 0.000 0.000 5.849
Hf 0.000 0.000 1.606
Zr 1.629 1.629 3.728
```

## Properties
SG   P4/mmm (123)
Electronic total energy   -9.81 eV/atom

***

[5]
Here is a relaxed LaCdTc4 crystal from Alexandria via LeMat-Bulk. Energies are from GGA-PBE.

Geometry as extended XYZ:
```
6
Lattice="-4.441 -2.304 -2.064 -4.899 1.767 1.473 -3.069 2.722 -3.530" Properties=species:S:1:pos:R:3 pbc="T T T"
La 0.000 0.000 0.000
Cd -9.307 1.638 -3.091
Tc -6.870 -0.326 -2.575
Tc -6.188 2.174 -3.304
Tc -7.098 1.699 -0.816
Tc -4.662 0.820 -1.548
```

## Properties
SG   F-43m (216)
Electronic total energy   -7.61 eV/atom

***

[6]
Here is a relaxed Ho3ErTl4Se8 crystal from Alexandria via LeMat-Bulk. Energies are from GGA-PBE.

Geometry as extended XYZ:
```
16
Lattice="-1.100 7.259 3.935 4.527 -3.245 7.253 3.940 -0.206 -7.336" Properties=species:S:1:pos:R:3 pbc="T T T"
Ho 1.713 2.007 5.594
Ho 3.683 1.904 1.926
Ho 4.234 -1.725 -0.042
Er 2.264 -1.622 3.626
Tl -0.550 3.630 1.967
Tl 1.420 3.527 -1.701
Tl 0.000 0.000 0.000
Tl 1.970 -0.103 -3.668
Se 6.743 -0.782 -1.091
Se 4.768 -0.679 2.586
Se 3.143 0.856 -0.699
Se 6.191 2.857 0.881
Se 1.176 0.952 2.970
Se 4.223 2.953 4.551
Se 2.599 4.488 1.265
Se 0.624 4.591 4.943
```

## Properties
Uncorrected formation energy   -1.38 eV/atom
SG   R-3m (166)
Electronic total energy   -4.86 eV/atom